--- one ---
First-principles (PBE) data for ScIn2Cl after structural relaxation, as listed in the Alexandria database.

Structure (CIF):
```
data_ScIn2Cl
_space_group_name_H-M_alt 'I m m 2'
_space_group_IT_number 44
_cell_length_a 3.263
_cell_length_b 5.639
_cell_length_c 10.788
_cell_angle_alpha 90.00
_cell_angle_beta 90.00
_cell_angle_gamma 90.00
loop_
_space_group_symop_operation_xyz
'x,y,z'
'-x,-y,z'
'-x,y,z'
'x,-y,z'
'x+1/2,y+1/2,z+1/2'
'-x+1/2,-y+1/2,z+1/2'
'-x+1/2,y+1/2,z+1/2'
'x+1/2,-y+1/2,z+1/2'
loop_
_atom_site_label
_atom_site_type_symbol
_atom_site_fract_x
_atom_site_fract_y
_atom_site_fract_z
_atom_site_occupancy
Sc1 Sc 0.000 0.000 0.000 1
In1 In 0.000 0.000 0.479 1
In2 In 0.000 0.500 0.256 1
Cl1 Cl 0.000 0.500 0.678 1
```

=====

--- two ---
First-principles (PBE) data for ScIn2Cl after structural relaxation, as listed in the Alexandria database.

Structure (CIF):
```
data_ScIn2Cl
_space_group_name_H-M_alt 'R 3 m'
_space_group_IT_number 160
_space_group_name_Hall 'R 3 -2"'
_cell_length_a 3.4553
_cell_length_b 3.4553
_cell_length_c 31.0537
_cell_angle_alpha 90.00
_cell_angle_beta 90.00
_cell_angle_gamma 120.00
loop_
_atom_site_label
_atom_site_type_symbol
_atom_site_fract_x
_atom_site_fract_y
_atom_site_fract_z
_atom_site_occupancy
Sc1 Sc 0.0000 0.0000 0.0000 1
In1 In 0.0000 0.0000 0.2580 1
In2 In 0.0000 0.0000 0.5075 1
Cl1 Cl 0.0000 0.0000 0.7188 1
```

=====

Which one is the least stable? From the structures above, one.